Entry 1:
# In6Sn5Pb PBE-GGA relaxed
# * VASP energy: -3.32 eV/atom
# * total magnetic moment: 0.0 Bohr magnetons per cell
# * calculated formation energy: 0.0270 eV/atom
data_In6Sn5Pb
_symmetry_space_group_name_H-M 'C 1 2/m 1'
_symmetry_Int_Tables_number 12
_symmetry_space_group_name_Hall '-C 2y'
_cell_length_a 15.2490
_cell_length_b 9.3759
_cell_length_c 4.9198
_cell_angle_alpha 90.00
_cell_angle_beta 108.53
_cell_angle_gamma 90.00
loop_
_atom_site_label
_atom_site_type_symbol
_atom_site_fract_x
_atom_site_fract_y
_atom_site_fract_z
In1 In 0.0000 0.2456 0.0000
In2 In 0.1679 0.2479 0.6678
Sn1 Sn 0.0000 0.0000 0.5000
Sn2 Sn 0.1664 0.0000 0.1665
Sn3 Sn 0.1698 0.5000 0.1699
Pb1 Pb 0.0000 0.5000 0.5000

=====

Entry 2:
# Er2ZrU2Ru5 PBE-GGA relaxed
# * VASP energy: -8.96 eV/atom
# * total magnetic moment: 0.0 Bohr magnetons per cell
# * calculated formation energy: -0.2951 eV/atom
data_Er2ZrU2Ru5
_symmetry_space_group_name_H-M 'P 4/m b m'
_symmetry_Int_Tables_number 127
_symmetry_space_group_name_Hall '-P 4 2ab'
_cell_length_a 10.4825
_cell_length_b 10.4825
_cell_length_c 3.5270
_cell_angle_alpha 90.00
_cell_angle_beta 90.00
_cell_angle_gamma 90.00
loop_
_atom_site_label
_atom_site_type_symbol
_atom_site_fract_x
_atom_site_fract_y
_atom_site_fract_z
Er1 Er 0.1730 0.3270 0.0000
Zr1 Zr 0.0000 0.0000 0.0000
U1 U 0.1381 0.6381 0.0000
Ru1 Ru 0.0000 0.5000 0.5000
Ru2 Ru 0.0503 0.7943 0.5000

=====

Entry 3:
# B3PtPb PBE-GGA relaxed
# * VASP energy: -4.85 eV/atom
# * total magnetic moment: 0.0 Bohr magnetons per cell
# * calculated formation energy: 1.1106 eV/atom
# * ΔE to the lowest computed polymorph: 0.0 meV per atom
data_B3PtPb
_symmetry_space_group_name_H-M 'P m -3 m'
_symmetry_Int_Tables_number 221
_symmetry_space_group_name_Hall '-P 4 2 3'
_cell_length_a 4.2502
_cell_length_b 4.2502
_cell_length_c 4.2502
_cell_angle_alpha 90.00
_cell_angle_beta 90.00
_cell_angle_gamma 90.00
loop_
_atom_site_label
_atom_site_type_symbol
_atom_site_fract_x
_atom_site_fract_y
_atom_site_fract_z
B1 B 0.0000 0.0000 0.5000
Pt1 Pt 0.0000 0.0000 0.0000
Pb1 Pb 0.5000 0.5000 0.5000